Record 1
{
  "formula": "Cu2PRu",
  "functional": "GGA-PBE",
  "state": "optimized geometry",
  "lattice": [[4.487, -0.019, 0.000], [1.472, 4.238, 0.000], [-2.979, -2.110, 2.608]],
  "species": ["Cu", "Cu", "P", "Ru"],
  "fractional_positions": [[0.000, 0.000, 0.000], [0.250, 0.750, 0.500], [0.500, 0.500, 0.000], [0.750, 0.250, 0.500]],
  "sg": "I-4m2 (119)",
  "e_form_ev_per_fu": 0.3,
  "dos_at_fermi_per_ev_cell": 2.53,
  "magnetic_moment_mub_per_fu": 0.0
}

Record 2
{
  "formula": "GdTm2Be",
  "functional": "GGA-PBE",
  "state": "optimized geometry",
  "lattice": [[3.418, 0.000, 0.000], [0.000, 3.418, 0.000], [0.000, 0.000, 8.601]],
  "species": ["Tm", "Be", "Tm", "Gd"],
  "fractional_positions": [[0.000, 0.000, 0.811], [0.500, 0.500, 0.000], [0.000, 0.000, 0.189], [0.500, 0.500, 0.500]],
  "sg": "P4/mmm (123)",
  "e_form_ev_per_fu": 0.2,
  "dos_at_fermi_per_ev_cell": 4.42,
  "magnetic_moment_mub_per_fu": 7.6
}

Record 3
{
  "formula": "NiTeRh2",
  "functional": "GGA-PBE",
  "state": "optimized geometry",
  "lattice": [[3.806, 0.000, 0.000], [0.000, 3.985, 0.000], [0.000, 0.000, 3.985]],
  "species": ["Te", "Rh", "Ni", "Rh"],
  "fractional_positions": [[0.500, 0.500, 0.000], [0.000, 0.500, 0.500], [0.500, 0.000, 0.500], [0.000, 0.000, 0.000]],
  "total_energy_ha_per_atom": -0.21744,
  "sg": "P4/mmm (123)",
  "dos_at_fermi_per_ev_cell": 3.68,
  "magnetic_moment_mub_per_fu": 0.9
}

Record 4
{
  "formula": "Y2IrBr",
  "functional": "GGA-PBE",
  "state": "optimized geometry",
  "lattice": [[6.540, 0.000, 0.000], [0.000, 6.540, 0.000], [3.270, 3.270, 6.333]],
  "species": ["Br", "Y", "Br", "Y", "Ir", "Ir", "Y", "Y"],
  "fractional_positions": [[0.500, 0.500, 0.000], [0.875, 0.920, 0.750], [0.250, 0.750, 0.500], [0.080, 0.625, 0.250], [0.750, 0.250, 0.500], [0.000, 0.000, 0.000], [0.670, 0.125, 0.250], [0.375, 0.330, 0.750]],
  "total_energy_ha_per_atom": -0.23470,
  "sg": "I-42d (122)",
  "dos_at_fermi_per_ev_cell": 4.99,
  "magnetic_moment_mub_per_fu": 0.0
}

Record 5
{
  "formula": "CrSiN3",
  "functional": "GGA-PBE",
  "state": "optimized geometry",
  "lattice": [[3.714, 0.000, 0.000], [0.000, 3.714, 0.000], [0.000, 0.000, 3.714]],
  "species": ["Cr", "Si", "N", "N", "N"],
  "fractional_positions": [[0.000, 0.000, 0.000], [0.500, 0.500, 0.500], [0.000, 0.500, 0.000], [0.500, 0.000, 0.000], [0.000, 0.000, 0.500]],
  "total_energy_ha_per_atom": -0.25878,
  "sg": "Pm-3m (221)",
  "dos_at_fermi_per_ev_cell": 3.01,
  "magnetic_moment_mub_per_fu": 0.0
}

Record 6
{
  "formula": "NaSrTi2Tc",
  "functional": "GGA-PBE",
  "state": "optimized geometry",
  "lattice": [[5.142, 0.000, 0.000], [0.000, 4.826, 0.000], [0.000, 0.000, 5.142]],
  "species": ["Sr", "Ti", "Na", "Ti", "Tc"],
  "fractional_positions": [[0.000, 0.000, 0.000], [0.500, 0.000, 0.000], [0.500, 0.500, 0.500], [0.000, 0.000, 0.500], [0.000, 0.500, 0.000]],
  "sg": "P4/mmm (123)",
  "e_form_ev_per_fu": 10.6,
  "dos_at_fermi_per_ev_cell": 6.70,
  "magnetic_moment_mub_per_fu": 1.6
}

Record 7
{
  "formula": "BeS2Cl",
  "functional": "GGA-PBE",
  "state": "optimized geometry",
  "lattice": [[5.215, 0.000, 0.000], [0.000, 5.215, 0.000], [2.608, 2.608, 5.937]],
  "species": ["Cl", "S", "Cl", "S", "Be", "S", "S", "Be"],
  "fractional_positions": [[0.750, 0.250, 0.500], [0.375, 0.510, 0.750], [0.000, 0.000, 0.000], [0.875, 0.740, 0.750], [0.500, 0.500, 0.000], [0.490, 0.125, 0.250], [0.260, 0.625, 0.250], [0.250, 0.750, 0.500]],
  "total_energy_ha_per_atom": -0.12273,
  "sg": "I-42d (122)",
  "dos_at_fermi_per_ev_cell": 5.24,
  "magnetic_moment_mub_per_fu": 0.0
}

Record 8
{
  "formula": "CsLi2InPd",
  "functional": "GGA-PBE",
  "state": "optimized geometry",
  "lattice": [[5.385, 0.000, 0.000], [0.000, 5.385, 0.000], [0.000, 0.000, 5.202]],
  "species": ["Li", "In", "Cs", "Li", "Pd"],
  "fractional_positions": [[0.500, 0.000, 0.000], [0.000, 0.000, 0.500], [0.500, 0.500, 0.500], [0.000, 0.500, 0.000], [0.000, 0.000, 0.000]],
  "sg": "P4/mmm (123)",
  "e_form_ev_per_fu": -0.6,
  "dos_at_fermi_per_ev_cell": 2.77,
  "magnetic_moment_mub_per_fu": 0.0
}

Record 9
{
  "formula": "CaSc2P",
  "functional": "GGA-PBE",
  "state": "optimized geometry",
  "lattice": [[8.452, 0.000, 0.000], [0.000, 8.452, 0.000], [4.226, 4.226, 2.944]],
  "species": ["Sc", "P", "Sc", "Sc", "Sc", "Ca", "P", "Ca"],
  "fractional_positions": [[0.375, 0.470, 0.750], [0.250, 0.750, 0.500], [0.530, 0.125, 0.250], [0.875, 0.780, 0.750], [0.220, 0.625, 0.250], [0.750, 0.250, 0.500], [0.500, 0.500, 0.000], [0.000, 0.000, 0.000]],
  "sg": "I-42d (122)",
  "e_form_ev_per_fu": -1.4,
  "dos_at_fermi_per_ev_cell": 7.48,
  "magnetic_moment_mub_per_fu": 0.8
}

Record 10
{
  "formula": "MgNi2B",
  "functional": "GGA-PBE",
  "state": "optimized geometry",
  "lattice": [[-0.387, 0.416, 2.804], [2.056, -4.027, 0.881], [2.286, 3.747, -0.251]],
  "species": ["Ni", "B", "Ni", "Mg"],
  "fractional_positions": [[0.001, 0.169, 0.339], [0.500, 0.000, 0.000], [0.999, 0.831, 0.661], [0.500, 0.500, 0.000]],
  "sg": "C2/m (12)",
  "e_form_ev_per_fu": -0.1,
  "dos_at_fermi_per_ev_cell": 1.69,
  "magnetic_moment_mub_per_fu": 0.0
}

Record 11
{
  "formula": "BaAcPm2",
  "functional": "GGA-PBE",
  "state": "optimized geometry",
  "lattice": [[-3.286, 1.943, 3.784], [3.234, -2.186, 3.931], [2.960, 4.680, 0.167]],
  "species": ["Pm", "Pm", "Ac", "Ba"],
  "fractional_positions": [[0.000, 0.500, 0.000], [0.000, 0.000, 0.500], [0.500, 0.500, 0.500], [0.500, 0.000, 0.000]],
  "sg": "P4/mmm (123)",
  "e_form_ev_per_fu": 0.7,
  "dos_at_fermi_per_ev_cell": 7.46,
  "magnetic_moment_mub_per_fu": 0.0
}

Record 12
{
  "formula": "YNi2Rh",
  "functional": "GGA-PBE",
  "state": "optimized geometry",
  "lattice": [[0.000, 3.135, 3.135], [3.135, 0.000, 3.135], [3.135, 3.135, 0.000]],
  "species": ["Rh", "Y", "Ni", "Ni"],
  "fractional_positions": [[0.500, 0.500, 0.500], [0.000, 0.000, 0.000], [0.250, 0.250, 0.250], [0.750, 0.750, 0.750]],
  "sg": "Fm-3m (225)",
  "e_form_ev_per_fu": -0.8,
  "dos_at_fermi_per_ev_cell": 2.90,
  "magnetic_moment_mub_per_fu": 0.0
}